# GGA-PBE BaGa2Si, relaxed
# Total magnetic moment (μB per formula unit): 0.0
# Calculated volume (Å³/atom): 28.32
# Formation energy (no corrections) (meV/atom): -172
# VASP energy (eV/f.u.): -14.1
data_BaGa2Si
_chemical_formula_sum 'Ba2 Ga4 Si2'
_cell_length_a 5.135
_cell_length_b 8.816
_cell_length_c 5.004
_cell_angle_alpha 90.00
_cell_angle_beta 90.00
_cell_angle_gamma 90.00
_symmetry_space_group_name_H-M 'C m m m'
_symmetry_Int_Tables_number 65
_symmetry_space_group_name_Hall '-C 2 2'
loop_
_atom_site_label
_atom_site_type_symbol
_atom_site_fract_x
_atom_site_fract_y
_atom_site_fract_z
_atom_site_occupancy
Ba1 Ba 0.000 0.000 0.000 1
Ga1 Ga 0.250 0.250 0.500 1
Si1 Si 0.000 0.500 0.500 1